1.
{
  "formula": "Ac2Au3",
  "functional": "PBE-GGA",
  "state": "relaxed",
  "energy_ev_per_atom": -4.3082,
  "space_group": "No. 220",
  "lattice_angstrom": [[9.3093, 0.0000, 0.0000], [-3.1031, 8.7769, 0.0000], [-3.1031, -4.3884, 7.6010]],
  "species": ["Ac", "Ac", "Ac", "Ac", "Ac", "Ac", "Ac", "Ac", "Au", "Au", "Au", "Au", "Au", "Au", "Au", "Au", "Au", "Au", "Au", "Au"],
  "frac_coords": [[0.9216, 0.4216, 0.4216], [0.0000, 0.0000, 0.0784], [0.5784, 0.5000, 0.0000], [0.5000, 0.0784, 0.5000], [0.4216, 0.9216, 0.9216], [0.0000, 0.0000, 0.5784], [0.5000, 0.5784, 0.5000], [0.0784, 0.5000, 0.0000], [0.5058, 0.2500, 0.2558], [0.9942, 0.7500, 0.2442], [0.7500, 0.2558, 0.0058], [0.2500, 0.2442, 0.4942], [0.7558, 0.0058, 0.2500], [0.7442, 0.4942, 0.7500], [0.2500, 0.5058, 0.7558], [0.7500, 0.9942, 0.7442], [0.2558, 0.7500, 0.5058], [0.2442, 0.2500, 0.9942], [0.0058, 0.7558, 0.7500], [0.4942, 0.7442, 0.2500]]
}

=====

2.
{
  "formula": "PH5S",
  "functional": "PBE-GGA",
  "state": "relaxed",
  "energy_ev_per_atom": -3.5023,
  "space_group": "No. 15",
  "lattice_angstrom": [[4.4258, -2.4664, -0.6953], [-1.9826, 4.6627, -0.6953], [-2.5929, -2.3308, 9.5084]],
  "species": ["P", "P", "H", "H", "H", "H", "H", "H", "H", "H", "H", "H", "S", "S"],
  "frac_coords": [[0.0000, 0.0000, 0.0000], [0.0000, 0.0000, 0.5000], [0.2181, 0.0478, 0.9162], [0.4659, 0.6471, 0.4200], [0.0478, 0.2181, 0.4162], [0.8551, 0.1449, 0.7500], [0.3529, 0.5341, 0.0800], [0.6471, 0.4659, 0.9200], [0.1449, 0.8551, 0.2500], [0.9522, 0.7819, 0.5838], [0.5341, 0.3529, 0.5800], [0.7819, 0.9522, 0.0838], [0.3533, 0.6467, 0.7500], [0.6467, 0.3533, 0.2500]]
}

=====

3.
{
  "formula": "LaTb5Nd",
  "functional": "PBE-GGA",
  "state": "relaxed",
  "energy_ev_per_atom": -4.5055,
  "space_group": "No. 15",
  "lattice_angstrom": [[6.2547, 0.1192, 2.8115], [2.3452, 5.7996, 2.8115], [1.1019, 0.7584, 13.8141]],
  "species": ["La", "La", "Tb", "Tb", "Tb", "Tb", "Tb", "Tb", "Tb", "Tb", "Tb", "Tb", "Nd", "Nd"],
  "frac_coords": [[0.7234, 0.2766, 0.7500], [0.2766, 0.7234, 0.2500], [0.1675, 0.3969, 0.7478], [0.6431, 0.6983, 0.5010], [0.3969, 0.1675, 0.2478], [0.1603, 0.8397, 0.7500], [0.3017, 0.3569, 0.9990], [0.6983, 0.6431, 0.0010], [0.8397, 0.1603, 0.2500], [0.6031, 0.8325, 0.7522], [0.3569, 0.3017, 0.4990], [0.8325, 0.6031, 0.2522], [0.0000, 0.0000, 0.0000], [0.0000, 0.0000, 0.5000]]
}

=====

4.
{
  "formula": "LiAlPHO5",
  "functional": "PBE-GGA",
  "state": "relaxed",
  "energy_ev_per_atom": -6.5885,
  "space_group": "No. 2",
  "lattice_angstrom": [[-4.8704, -2.6821, -1.1225], [1.9356, -5.8846, -2.0904], [-4.3503, -3.3354, 4.7025]],
  "species": ["P", "P", "Li", "Li", "Al", "Al", "O", "O", "O", "O", "O", "O", "O", "O", "O", "O", "H", "H"],
  "frac_coords": [[0.0052, 0.3131, 0.7711], [0.9948, 0.6869, 0.2289], [0.5059, 0.4863, 0.3038], [0.4941, 0.5137, 0.6962], [0.0000, 0.0000, 0.0000], [0.5000, 0.0000, 0.5000], [0.9446, 0.9400, 0.2922], [0.0554, 0.0600, 0.7078], [0.7876, 0.4687, 0.7504], [0.2124, 0.5313, 0.2496], [0.6454, 0.6845, 0.4126], [0.3546, 0.3155, 0.5874], [0.9082, 0.3053, 0.0251], [0.0918, 0.6947, 0.9749], [0.5697, 0.0252, 0.2106], [0.4303, 0.9748, 0.7894], [0.4200, 0.1203, 0.1998], [0.5800, 0.8797, 0.8002]]
}

=====

5.
{
  "formula": "ThSi4Au12",
  "functional": "PBE-GGA",
  "state": "relaxed",
  "energy_ev_per_atom": -4.0864,
  "space_group": "No. 204",
  "e_form_raw_ev_per_atom": -0.06,
  "lattice_angstrom": [[7.6605, 0.0000, 0.0000], [-2.5535, 7.2224, 0.0000], [-2.5535, -3.6112, 6.2548]],
  "species": ["Th", "Si", "Si", "Si", "Si", "Au", "Au", "Au", "Au", "Au", "Au", "Au", "Au", "Au", "Au", "Au", "Au"],
  "frac_coords": [[0.0000, 0.0000, 0.0000], [0.0000, 0.5000, 0.0000], [0.5000, 0.0000, 0.0000], [0.5000, 0.5000, 0.5000], [0.0000, 0.0000, 0.5000], [0.8395, 0.3383, 0.1778], [0.3383, 0.4988, 0.1605], [0.8222, 0.1605, 0.6617], [0.3383, 0.1778, 0.8395], [0.1778, 0.8395, 0.3383], [0.6617, 0.5012, 0.8395], [0.4988, 0.1605, 0.3383], [0.5012, 0.8395, 0.6617], [0.6617, 0.8222, 0.1605], [0.8395, 0.6617, 0.5012], [0.1605, 0.3383, 0.4988], [0.1605, 0.6617, 0.8222]]
}

=====

6.
{
  "formula": "VTcSnW",
  "functional": "PBE-GGA",
  "state": "relaxed",
  "energy_ev_per_atom": -8.9861,
  "space_group": "No. 216",
  "lattice_angstrom": [[-1.0396, -2.5610, -3.5395], [-3.1864, -3.1439, 0.3617], [-3.9393, 0.5450, -2.0863]],
  "species": ["V", "Sn", "W", "Tc"],
  "frac_coords": [[0.0000, 0.0000, 0.0000], [0.2500, 0.2500, 0.2500], [0.7500, 0.7500, 0.7500], [0.5000, 0.5000, 0.5000]]
}